[1]
{
  "formula": "LiTl4Pb2",
  "functional": "PBE",
  "state": "optimized geometry",
  "energy_ev_per_atom": -2.5366,
  "crystal_system": "orthorhombic",
  "e_above_lowest_polymorph_ev_per_atom": 0.133,
  "lattice": [[5.169, 0.000, 0.000], [0.000, 6.490, 0.000], [0.000, -3.245, 6.832]],
  "species": ["Li", "Pb", "Pb", "Tl", "Tl", "Tl", "Tl"],
  "fractional_positions": [[0.000, 0.500, 0.000], [0.500, 0.884, 0.769], [0.500, 0.116, 0.231], [0.000, 0.749, 0.498], [0.500, 0.382, 0.765], [0.000, 0.251, 0.502], [0.500, 0.618, 0.235]]
}

[2]
{
  "formula": "LiTlPb",
  "functional": "PBE",
  "state": "optimized geometry",
  "energy_ev_per_atom": -2.8042,
  "crystal_system": "orthorhombic",
  "lattice": [[7.716, 0.000, 0.000], [0.000, 3.746, 0.000], [0.000, 0.000, 10.869]],
  "species": ["Li", "Tl", "Li", "Pb", "Li", "Tl", "Tl", "Tl", "Pb", "Li", "Pb", "Pb"],
  "fractional_positions": [[0.876, 0.250, 0.768], [0.894, 0.250, 0.395], [0.624, 0.750, 0.268], [0.643, 0.750, 0.581], [0.376, 0.250, 0.732], [0.394, 0.250, 0.105], [0.106, 0.750, 0.605], [0.606, 0.750, 0.895], [0.857, 0.250, 0.081], [0.124, 0.750, 0.232], [0.357, 0.250, 0.419], [0.143, 0.750, 0.919]]
}

[3]
{
  "formula": "Li8Tl3Pb",
  "functional": "PBE",
  "state": "optimized geometry",
  "energy_ev_per_atom": -2.4072,
  "crystal_system": "monoclinic",
  "lattice": [[8.231, 0.000, 3.408], [-3.016, 4.694, 1.830], [2.199, 0.000, 7.067]],
  "species": ["Li", "Pb", "Li", "Li", "Li", "Tl", "Li", "Tl", "Tl", "Li", "Li", "Li"],
  "fractional_positions": [[0.398, 0.538, 0.774], [0.908, 0.000, 0.230], [0.016, 0.453, 0.812], [0.204, 0.000, 0.295], [0.070, 0.000, 0.745], [0.214, 0.508, 0.289], [0.715, 0.000, 0.777], [0.706, 0.492, 0.797], [0.496, 0.000, 0.363], [0.563, 0.547, 0.265], [0.860, 0.462, 0.312], [0.349, 0.000, 0.841]]
}

[4]
{
  "formula": "Li2TlPb",
  "functional": "PBE",
  "state": "optimized geometry",
  "energy_ev_per_atom": -2.6908,
  "crystal_system": "monoclinic",
  "e_above_lowest_polymorph_ev_per_atom": 0.035,
  "lattice": [[5.653, -0.003, 0.069], [4.554, 3.350, 0.069], [1.104, 0.362, 4.797]],
  "species": ["Li", "Tl", "Pb", "Li"],
  "fractional_positions": [[0.000, 0.000, 0.957], [0.742, 0.742, 0.805], [0.508, 0.508, 0.450], [0.250, 0.250, 0.288]]
}

[5]
{
  "formula": "LiTl2Pb8",
  "functional": "PBE",
  "state": "optimized geometry",
  "energy_ev_per_atom": -3.2367,
  "crystal_system": "monoclinic",
  "e_above_lowest_polymorph_ev_per_atom": 0.099,
  "lattice": [[8.421, 1.264, 0.883], [3.052, 7.082, -0.420], [3.052, 2.043, 6.794]],
  "species": ["Pb", "Pb", "Pb", "Pb", "Pb", "Pb", "Li", "Pb", "Tl", "Tl", "Pb"],
  "fractional_positions": [[0.112, 0.559, 0.093], [0.888, 0.441, 0.907], [0.747, 0.917, 0.917], [0.888, 0.907, 0.441], [0.752, 0.404, 0.404], [0.253, 0.083, 0.083], [0.000, 0.000, 0.000], [0.248, 0.596, 0.596], [0.500, 0.256, 0.256], [0.500, 0.744, 0.744], [0.112, 0.093, 0.559]]
}

[6]
{
  "formula": "LiTl5Pb6",
  "functional": "PBE",
  "state": "optimized geometry",
  "energy_ev_per_atom": -3.0244,
  "crystal_system": "monoclinic",
  "lattice": [[5.998, 0.882, -1.170], [-1.999, 7.433, -0.087], [0.478, 0.832, 7.638]],
  "species": ["Pb", "Tl", "Li", "Pb", "Tl", "Pb", "Tl", "Tl", "Pb", "Pb", "Tl", "Pb"],
  "fractional_positions": [[0.767, 0.247, 0.247], [0.000, 0.674, 0.326], [0.000, 0.000, 0.000], [0.250, 0.082, 0.411], [0.500, 0.500, 0.500], [0.250, 0.411, 0.082], [0.500, 0.161, 0.839], [0.500, 0.839, 0.161], [0.750, 0.918, 0.589], [0.233, 0.753, 0.753], [0.000, 0.326, 0.674], [0.750, 0.589, 0.918]]
}

[7]
{
  "formula": "LiTlPb",
  "functional": "PBE",
  "state": "optimized geometry",
  "energy_ev_per_atom": -2.6969,
  "crystal_system": "hexagonal",
  "lattice": [[-0.919, 3.694, -3.887], [-3.270, -4.322, 0.473], [-3.824, 3.340, 4.079]],
  "species": ["Tl", "Tl", "Pb", "Li", "Li", "Pb"],
  "fractional_positions": [[0.667, 0.333, 0.750], [0.333, 0.667, 0.250], [0.333, 0.667, 0.750], [0.000, 0.000, 0.000], [0.000, 0.000, 0.500], [0.667, 0.333, 0.250]]
}

[8]
{
  "formula": "LiTlPb",
  "functional": "PBE",
  "state": "optimized geometry",
  "energy_ev_per_atom": -2.8038,
  "crystal_system": "orthorhombic",
  "lattice": [[1.469, 7.318, -2.246], [-3.001, -7.025, -1.550], [-4.500, 1.496, 1.932]],
  "species": ["Li", "Pb", "Tl", "Pb", "Li", "Tl"],
  "fractional_positions": [[0.914, 0.086, 0.250], [0.572, 0.428, 0.250], [0.249, 0.751, 0.250], [0.428, 0.572, 0.750], [0.086, 0.914, 0.750], [0.751, 0.249, 0.750]]
}

[9]
{
  "formula": "Li5Tl12Pb3",
  "functional": "PBE",
  "state": "optimized geometry",
  "energy_ev_per_atom": -2.3439,
  "crystal_system": "cubic",
  "lattice": [[-1.596, 12.271, 8.373], [-12.811, -2.862, -7.135], [3.518, -11.583, 8.758]],
  "species": ["Tl", "Li", "Tl", "Tl", "Tl", "Li", "Tl", "Tl", "Tl", "Tl", "Li", "Tl", "Pb", "Tl", "Tl", "Tl", "Pb", "Li", "Tl", "Tl", "Tl", "Pb", "Tl", "Tl", "Tl", "Tl", "Pb", "Tl", "Li", "Li", "Li", "Tl", "Li", "Tl", "Li", "Li", "Li", "Li", "Pb", "Tl", "Tl", "Tl", "Li", "Li", "Tl", "Li", "Tl", "Li", "Li", "Pb", "Tl", "Tl", "Tl", "Pb", "Tl", "Tl", "Tl", "Tl", "Pb", "Tl", "Pb", "Tl", "Tl", "Pb", "Tl", "Tl", "Tl", "Li", "Li", "Tl", "Tl", "Li", "Tl", "Tl", "Tl", "Tl", "Pb", "Tl", "Tl", "Pb"],
  "fractional_positions": [[0.667, 0.214, 0.589], [0.500, 0.000, 0.500], [0.333, 0.786, 0.411], [0.453, 0.667, 0.078], [0.714, 0.125, 0.047], [0.375, 0.250, 0.125], [0.089, 0.167, 0.214], [0.922, 0.833, 0.547], [0.786, 0.333, 0.911], [0.625, 0.578, 0.911], [0.125, 0.375, 0.250], [0.167, 0.089, 0.714], [0.750, 0.875, 0.625], [0.453, 0.786, 0.875], [0.286, 0.411, 0.833], [0.589, 0.714, 0.667], [0.875, 0.125, 0.250], [0.625, 0.750, 0.875], [0.578, 0.625, 0.411], [0.953, 0.375, 0.286], [0.214, 0.547, 0.625], [0.375, 0.750, 0.625], [0.922, 0.089, 0.875], [0.078, 0.167, 0.453], [0.625, 0.047, 0.214], [0.333, 0.547, 0.422], [0.750, 0.375, 0.125], [0.375, 0.953, 0.786], [0.750, 0.125, 0.875], [0.125, 0.750, 0.375], [0.625, 0.875, 0.250], [0.714, 0.589, 0.167], [0.500, 0.500, 0.500], [0.375, 0.422, 0.089], [0.500, 0.500, 0.000], [0.750, 0.625, 0.375], [0.250, 0.875, 0.125], [0.375, 0.125, 0.750], [0.250, 0.125, 0.375], [0.911, 0.833, 0.786], [0.125, 0.714, 0.547], [0.167, 0.078, 0.953], [0.250, 0.375, 0.625], [0.875, 0.625, 0.750], [0.547, 0.333, 0.922], [0.000, 0.500, 0.500], [0.833, 0.922, 0.047], [0.000, 0.000, 0.500], [0.000, 0.500, 0.000], [0.125, 0.875, 0.750], [0.911, 0.078, 0.625], [0.078, 0.911, 0.125], [0.833, 0.911, 0.286], [0.375, 0.625, 0.250], [0.547, 0.214, 0.125], [0.286, 0.875, 0.953], [0.047, 0.422, 0.833], [0.214, 0.667, 0.089], [0.125, 0.250, 0.875], [0.411, 0.286, 0.333], [0.625, 0.375, 0.750], [0.422, 0.375, 0.589], [0.422, 0.047, 0.333], [0.625, 0.250, 0.375], [0.047, 0.625, 0.714], [0.578, 0.953, 0.667], [0.089, 0.922, 0.375], [0.875, 0.250, 0.625], [0.000, 0.000, 0.000], [0.589, 0.875, 0.422], [0.411, 0.125, 0.578], [0.500, 0.000, 0.000], [0.125, 0.411, 0.078], [0.953, 0.578, 0.167], [0.667, 0.453, 0.578], [0.875, 0.286, 0.453], [0.875, 0.750, 0.125], [0.875, 0.589, 0.922], [0.786, 0.453, 0.375], [0.250, 0.625, 0.875]]
}

[10]
{
  "formula": "LiTlPb",
  "functional": "PBE",
  "state": "optimized geometry",
  "energy_ev_per_atom": -2.8192,
  "crystal_system": "tetragonal",
  "lattice": [[3.508, 0.000, 0.000], [0.000, 3.508, 0.000], [0.000, 0.000, 12.490]],
  "species": ["Pb", "Li", "Li", "Tl", "Tl", "Pb"],
  "fractional_positions": [[0.500, 0.500, 0.713], [0.000, 0.000, 0.570], [0.000, 0.000, 0.858], [0.000, 0.000, 0.211], [0.500, 0.500, 0.009], [0.500, 0.500, 0.417]]
}

[11]
{
  "formula": "LiTlPb2",
  "functional": "PBE",
  "state": "optimized geometry",
  "energy_ev_per_atom": -3.0066,
  "crystal_system": "monoclinic",
  "lattice": [[4.906, 0.000, 0.000], [0.000, 3.547, 0.273], [0.000, 1.445, 6.471]],
  "species": ["Pb", "Li", "Pb", "Tl"],
  "fractional_positions": [[0.500, 0.303, 0.259], [0.500, 0.577, 0.765], [0.000, 0.950, 0.971], [0.000, 0.669, 0.505]]
}

[12]
{
  "formula": "LiTl3Pb4",
  "functional": "PBE",
  "state": "optimized geometry",
  "energy_ev_per_atom": -2.9526,
  "crystal_system": "monoclinic",
  "lattice": [[3.306, 0.000, -0.417], [-0.125, 5.524, -0.989], [-0.010, -0.152, 13.228]],
  "species": ["Pb", "Pb", "Pb", "Pb", "Tl", "Tl", "Li", "Tl"],
  "fractional_positions": [[0.094, 0.116, 0.187], [0.716, 0.220, 0.432], [0.284, 0.780, 0.568], [0.906, 0.884, 0.813], [0.000, 0.500, 0.000], [0.847, 0.334, 0.693], [0.500, 0.000, 0.000], [0.153, 0.666, 0.307]]
}

[13]
{
  "formula": "LiTlPb2",
  "functional": "PBE",
  "state": "optimized geometry",
  "energy_ev_per_atom": -2.9861,
  "crystal_system": "tetragonal",
  "lattice": [[5.460, 0.000, 0.000], [0.000, 5.460, 0.000], [0.000, 0.000, 3.740]],
  "species": ["Tl", "Pb", "Pb", "Li"],
  "fractional_positions": [[0.500, 0.000, 0.500], [0.000, 0.000, 0.000], [0.500, 0.500, 0.000], [0.000, 0.500, 0.500]]
}

[14]
{
  "formula": "LiTl2Pb5",
  "functional": "PBE",
  "state": "optimized geometry",
  "energy_ev_per_atom": -3.1582,
  "crystal_system": "tetragonal",
  "lattice": [[6.514, -0.438, -1.960], [-3.703, 5.376, -1.962], [0.245, 0.433, 6.798]],
  "species": ["Pb", "Li", "Pb", "Pb", "Pb", "Tl", "Tl", "Pb"],
  "fractional_positions": [[0.278, 0.278, 0.500], [0.778, 0.778, 0.000], [0.778, 0.778, 0.500], [0.278, 0.778, 0.000], [0.778, 0.278, 0.000], [0.278, 0.778, 0.500], [0.778, 0.278, 0.500], [0.278, 0.277, 0.000]]
}

[15]
{
  "formula": "Li2Tl3Pb2",
  "functional": "PBE",
  "state": "optimized geometry",
  "energy_ev_per_atom": -2.7069,
  "crystal_system": "orthorhombic",
  "lattice": [[-1.583, -3.022, -0.516], [0.994, 0.041, -3.289], [13.763, -5.939, 4.084]],
  "species": ["Pb", "Tl", "Li", "Li", "Tl", "Pb", "Tl"],
  "fractional_positions": [[0.296, 0.500, 0.592], [0.417, 0.500, 0.833], [0.143, 0.000, 0.286], [0.857, 0.000, 0.714], [0.000, 0.000, 0.000], [0.704, 0.500, 0.408], [0.583, 0.500, 0.167]]
}

[16]
{
  "formula": "LiTlPb2",
  "functional": "PBE",
  "state": "optimized geometry",
  "energy_ev_per_atom": -3.0191,
  "crystal_system": "tetragonal",
  "lattice": [[5.911, 0.049, 0.000], [1.988, 5.567, 0.000], [-3.950, -2.808, 3.385]],
  "species": ["Li", "Pb", "Pb", "Tl"],
  "fractional_positions": [[0.750, 0.250, 0.500], [0.000, 0.000, 0.000], [0.250, 0.750, 0.500], [0.500, 0.500, 0.000]]
}

[17]
{
  "formula": "Li6TlPb",
  "functional": "PBE",
  "state": "optimized geometry",
  "energy_ev_per_atom": -2.4666,
  "crystal_system": "trigonal",
  "e_above_lowest_polymorph_ev_per_atom": 0.000,
  "lattice": [[-1.968, -4.256, -0.348], [2.640, -3.859, 0.499], [-1.179, -2.679, 7.671]],
  "species": ["Li", "Li", "Pb", "Tl", "Li", "Li", "Li", "Li"],
  "fractional_positions": [[0.625, 0.625, 0.125], [0.753, 0.753, 0.740], [0.500, 0.500, 0.500], [0.000, 0.000, 0.000], [0.875, 0.875, 0.376], [0.247, 0.247, 0.260], [0.375, 0.375, 0.875], [0.125, 0.125, 0.624]]
}

[18]
{
  "formula": "LiTlPb2",
  "functional": "PBE",
  "state": "optimized geometry",
  "energy_ev_per_atom": -2.9932,
  "crystal_system": "trigonal",
  "lattice": [[11.120, 0.098, 0.057], [10.561, 3.484, 0.057], [10.561, 1.745, 3.016]],
  "species": ["Pb", "Li", "Pb", "Tl"],
  "fractional_positions": [[0.491, 0.491, 0.491], [0.750, 0.750, 0.750], [0.009, 0.009, 0.009], [0.250, 0.250, 0.250]]
}

[19]
{
  "formula": "Li2TlPb",
  "functional": "PBE",
  "state": "optimized geometry",
  "energy_ev_per_atom": -2.7227,
  "crystal_system": "tetragonal",
  "e_above_lowest_polymorph_ev_per_atom": 0.003,
  "lattice": [[4.895, 0.000, 0.000], [0.000, 4.896, 0.000], [0.000, 0.000, 3.643]],
  "species": ["Li", "Li", "Tl", "Pb"],
  "fractional_positions": [[0.500, 0.500, 0.000], [0.000, 0.000, 0.000], [0.000, 0.500, 0.500], [0.500, 0.000, 0.500]]
}

[20]
{
  "formula": "LiTl2Pb6",
  "functional": "PBE",
  "state": "optimized geometry",
  "energy_ev_per_atom": -3.2004,
  "crystal_system": "triclinic",
  "e_above_lowest_polymorph_ev_per_atom": 0.005,
  "lattice": [[4.715, 0.011, 1.663], [2.678, 5.514, -0.001], [-1.287, -1.583, 10.770]],
  "species": ["Pb", "Tl", "Pb", "Pb", "Pb", "Pb", "Li", "Tl", "Pb"],
  "fractional_positions": [[0.029, 0.683, 0.253], [0.792, 0.228, 0.191], [0.606, 0.734, 0.046], [0.971, 0.317, 0.747], [0.629, 0.212, 0.529], [0.371, 0.788, 0.471], [0.000, 0.500, 0.500], [0.208, 0.772, 0.809], [0.394, 0.266, 0.954]]
}